# 1
DFT (PBE) results for a relaxed structure of CuGe3.

Results
energy above the most stable polymorph in this dataset	0.02	eV/f.u.
E_form	252	meV/atom
total DFT energy (no corrections)	-4.235	eV per atom

Cell lengths 2.8709, 3.2546, 7.6174 Å; angles 90.00, 90.00, 90.00 degrees
Positions (direct):
Cu  0.0000  0.0000  0.0000
Ge  0.0000  0.5000  0.2589
Ge  0.5000  0.0000  0.5116
Ge  0.5000  0.5000  0.8109

---

# 2
DFT (PBE) results for a relaxed structure of NbCr2Mo.

Results
energy above the most stable polymorph in this dataset	0.00	eV/f.u.
E_form	19	meV/atom
total DFT energy (no corrections)	-10.018	eV per atom

Cell lengths 4.3287, 4.3287, 4.3287 Å; angles 60.00, 60.00, 60.00 degrees
Positions (direct):
Nb  0.0000  0.0000  0.0000
Cr  0.2500  0.2500  0.2500
Cr  0.7500  0.7500  0.7500
Mo  0.5000  0.5000  0.5000